This record from Alexandria describes a geometry-optimized CeYTl2S4 structure. The functional is PBE.

Cell lengths 4.1192, 7.1336, 7.8655 Å; angles 107.47, 90.00, 90.00 degrees
Site moments in Bohr magnetons follow the coordinates.
Fractional positions:
Ce  0.5000  0.5000  0.0000  0.91
Y  0.0000  0.0000  0.0000  0.01
Tl  0.5000  0.0000  0.5000  0.00
Tl  0.0000  0.5000  0.5000  0.01
S  0.5000  0.2260  0.1983  -0.01
S  0.5000  0.7740  0.8017  -0.01
S  0.0000  0.2596  0.7991  -0.01
S  0.0000  0.7404  0.2009  -0.01

Computed properties:
Its raw formation energy is -1440.6 meV per atom. Its total energy is -45.165 eV per formula unit.

This record from Alexandria describes a geometry-optimized CeY3Tl4S8 structure. The functional is PBE.

Cell lengths 8.1598, 8.8687, 8.1607 Å; angles 117.40, 120.00, 90.00 degrees
Site moments in Bohr magnetons follow the coordinates.
Fractional positions:
Ce  0.0000  0.5000  0.0000  0.91
Y  0.5000  0.5000  0.0000  0.01
Y  0.5000  0.5000  0.5000  0.01
Y  0.0000  0.5000  0.5000  0.01
Tl  0.5000  0.0000  0.0000  0.00
Tl  0.5000  0.0000  0.5000  0.00
Tl  0.0000  0.0000  0.0000  0.00
Tl  0.0000  0.0000  0.5000  0.00
S  0.2367  0.6995  0.9629  -0.01
S  0.2367  0.6995  0.4734  -0.01
S  0.2676  0.3029  0.5352  0.00
S  0.7262  0.6995  0.9629  -0.01
S  0.2738  0.3005  0.0371  -0.01
S  0.7324  0.6971  0.4648  0.00
S  0.7633  0.3005  0.5266  -0.01
S  0.7633  0.3005  0.0371  -0.01

Computed properties:
Its raw formation energy is -1465.1 meV per atom. Its total energy is -91.252 eV per formula unit.

This record from Alexandria describes a geometry-optimized Ce3YTl4S8 structure. The functional is PBE.

Cell lengths 8.3083, 8.8937, 8.3090 Å; angles 117.85, 120.00, 90.00 degrees
Site moments in Bohr magnetons follow the coordinates.
Fractional positions:
Ce  0.5000  0.5000  0.0000  0.91
Ce  0.5000  0.5000  0.5000  0.91
Ce  0.0000  0.5000  0.5000  0.91
Y  0.0000  0.5000  0.0000  0.02
Tl  0.5000  0.0000  0.0000  0.01
Tl  0.5000  0.0000  0.5000  0.00
Tl  0.0000  0.0000  0.0000  0.00
Tl  0.0000  0.0000  0.5000  0.00
S  0.2300  0.6996  0.9697  -0.01
S  0.2300  0.6996  0.4599  -0.01
S  0.2659  0.2977  0.5318  -0.02
S  0.7397  0.6996  0.9697  -0.01
S  0.2603  0.3004  0.0303  -0.01
S  0.7341  0.7023  0.4682  -0.02
S  0.7700  0.3004  0.5401  -0.01
S  0.7700  0.3004  0.0303  -0.01

Computed properties:
Its raw formation energy is -1419.4 meV per atom. Its total energy is -89.462 eV per formula unit.

This record from Alexandria describes a geometry-optimized Ce3Tl4ZnS8 structure. The functional is PBE.

Cell lengths 8.1391, 8.8352, 8.1655 Å; angles 117.55, 119.89, 90.00 degrees
Site moments in Bohr magnetons follow the coordinates.
Fractional positions:
Ce  0.5000  0.5000  0.0000  0.68
Ce  0.5000  0.5000  0.5000  0.67
Ce  0.0000  0.5000  0.5000  0.67
Tl  0.5000  0.0000  0.0000  0.00
Tl  0.5000  0.0000  0.5000  0.00
Tl  0.0000  0.0000  0.0000  0.00
Tl  0.0000  0.0000  0.5000  0.00
Zn  0.0000  0.5000  0.0000  0.00
S  0.2242  0.6941  0.9691  -0.02
S  0.2294  0.6980  0.4589  -0.02
S  0.2655  0.2958  0.5310  -0.02
S  0.7448  0.6941  0.9691  -0.02
S  0.2552  0.3059  0.0309  -0.02
S  0.7345  0.7042  0.4690  -0.02
S  0.7706  0.3020  0.5411  -0.02
S  0.7758  0.3059  0.0309  -0.02

Computed properties:
Its raw formation energy is -1157.9 meV per atom. Its total energy is -80.087 eV per formula unit.

This record from Alexandria describes a geometry-optimized Ce2ZrTl3S6 structure. The functional is PBE.

Cell lengths 6.9736, 6.9736, 7.9357 Å; angles 98.44, 98.44, 119.95 degrees
Site moments in Bohr magnetons follow the coordinates.
Fractional positions:
Ce  0.3338  0.6662  0.0000  0.98
Ce  0.6662  0.3338  0.0000  0.98
Zr  0.0000  0.0000  0.0000  0.43
Tl  0.1678  0.8322  0.5000  0.01
Tl  0.8322  0.1678  0.5000  0.01
Tl  0.5000  0.5000  0.5000  0.01
S  0.9342  0.6213  0.8029  -0.02
S  0.7547  0.7547  0.2015  -0.01
S  0.0658  0.3787  0.1971  -0.02
S  0.6213  0.9342  0.8029  -0.02
S  0.2453  0.2453  0.7985  -0.01
S  0.3787  0.0658  0.1971  -0.02

Computed properties:
Its raw formation energy is -1288.0 meV per atom. Its total energy is -67.735 eV per formula unit.

This record from Alexandria describes a geometry-optimized CeTm5S6 structure. The functional is PBE.

Cell lengths 6.7046, 6.7029, 6.7150 Å; angles 60.06, 80.32, 70.31 degrees
Site moments in Bohr magnetons follow the coordinates.
Fractional positions:
S  0.7443  0.0851  0.3423  0.00
S  0.2557  0.5725  0.3423  0.00
S  0.2542  0.2575  0.0000  0.00
S  0.7458  0.7425  0.0000  0.00
S  0.7443  0.4275  0.6577  0.00
S  0.2557  0.9149  0.6577  0.00
Tm  0.5000  0.1646  0.6708  0.01
Tm  0.0000  0.3332  0.3335  0.02
Tm  0.5000  0.5000  0.0000  0.01
Tm  0.0000  0.6668  0.6665  0.02
Tm  0.5000  0.8354  0.3292  0.01
Ce  0.0000  0.0000  0.0000  0.45

Computed properties:
Its raw formation energy is -1950.5 meV per atom. Its total energy is -76.462 eV per formula unit.

This record from Alexandria describes a geometry-optimized Ce2TmS3 structure. The functional is PBE.

Cell lengths 8.8379, 8.8379, 8.8379 Å; angles 154.11, 154.11, 36.94 degrees
Site moments in Bohr magnetons follow the coordinates.
Fractional positions:
Ce  0.6687  0.6687  0.0000  0.19
Ce  0.3313  0.3313  0.0000  0.19
Tm  0.0000  0.0000  0.0000  0.00
S  0.5000  0.5000  0.0000  0.00
S  0.8387  0.8387  0.0000  -0.01
S  0.1613  0.1613  0.0000  -0.01

Computed properties:
Its raw formation energy is -2004.2 meV per atom. Its total energy is -40.747 eV per formula unit.

This record from Alexandria describes a geometry-optimized CeTmS2 structure. The functional is PBE.

Cell lengths 3.8983, 3.8983, 6.9203 Å; angles 73.62, 73.62, 60.05 degrees
Site moments in Bohr magnetons follow the coordinates.
Fractional positions:
Ce  0.5000  0.5000  0.5000  0.66
Tm  0.0000  0.0000  0.0000  -0.01
S  0.7441  0.7441  0.7678  -0.01
S  0.2559  0.2559  0.2322  -0.01

Computed properties:
Its raw formation energy is -2004.4 meV per atom. For the excess energy over the best structure of this formula in the dataset, the calculation gives 0 meV/atom. Its total energy is -26.678 eV per formula unit.